Entry from Alexandria via LeMat-Bulk: a geometry-optimized KPb2C structure (GGA-PBE).

Results
* energy of formation from the pure elements: 0.9089 eV per atom
* density of states at the Fermi level: 3.47 states/eV/cell
* total moment: 0.0 μB per formula unit
* E: -3.526 eV/atom

Structure (POSCAR):
```
KPb2C
1.0
7.254 0.000 0.000
0.000 7.254 0.000
3.627 3.627 5.087
C Pb K
2 4 2
Direct
0.500 0.500 0.000
0.250 0.750 0.500
0.375 0.504 0.750
0.496 0.125 0.250
0.875 0.746 0.750
0.254 0.625 0.250
0.000 0.000 0.000
0.750 0.250 0.500
```

Entry from Alexandria via LeMat-Bulk: a geometry-optimized KPb3C structure (GGA-PBE).

Results
* energy above the most stable polymorph in this dataset: 1452 meV/atom
* energy of formation from the pure elements: 2.2780 eV per atom
* density of states at the Fermi level: 5.08 states/eV/cell
* total moment: 1.2 μB per formula unit
* E: -2.011 eV/atom

Structure (POSCAR):
```
KPb3C
1.0
6.076 0.000 0.000
0.000 6.076 0.000
0.000 0.000 6.076
Pb K C
3 1 1
Direct
0.000 0.000 0.500
0.500 0.000 0.000
0.000 0.500 0.000
0.000 0.000 0.000
0.500 0.500 0.500
```

Entry from Alexandria via LeMat-Bulk: a geometry-optimized KPd2C structure (GGA-PBE).

Results
* energy of formation from the pure elements: 0.3505 eV per atom
* density of states at the Fermi level: 3.82 states/eV/cell
* total moment: 0.0 μB per formula unit
* E: -4.826 eV/atom

Structure (POSCAR):
```
KPd2C
1.0
-0.009 2.702 5.103
4.444 -3.255 1.732
5.660 3.393 1.480
K C Pd
2 2 4
Direct
0.000 0.000 0.000
0.750 0.250 0.500
0.250 0.750 0.500
0.500 0.500 0.000
0.375 0.625 0.750
0.375 0.125 0.250
0.375 0.625 0.250
0.875 0.625 0.750
```

Entry from Alexandria via LeMat-Bulk: a geometry-optimized KPdC3 structure (GGA-PBE).

Results
* energy above the most stable polymorph in this dataset: 0 meV/atom
* energy of formation from the pure elements: 2.5498 eV per atom
* density of states at the Fermi level: 8.41 states/eV/cell
* total moment: 0.0 μB per formula unit
* E: -4.243 eV/atom

Structure (POSCAR):
```
KPdC3
1.0
-1.992 -1.221 -3.498
0.814 -4.019 0.939
-3.615 -0.232 2.140
Pd C K
1 3 1
Direct
0.000 0.000 0.000
0.000 0.500 0.000
0.500 0.000 0.000
0.000 0.000 0.500
0.500 0.500 0.500
```

Entry from Alexandria via LeMat-Bulk: a geometry-optimized K2PdC structure (GGA-PBE).

Results
* energy of formation from the pure elements: 0.4148 eV per atom
* density of states at the Fermi level: 2.67 states/eV/cell
* total moment: 0.0 μB per formula unit
* E: -3.738 eV/atom

Structure (POSCAR):
```
K2PdC
1.0
11.800 0.000 0.000
0.000 11.800 0.000
5.900 5.900 1.948
Pd K C
2 4 2
Direct
0.000 0.000 0.000
0.750 0.250 0.500
0.875 0.645 0.750
0.355 0.625 0.250
0.395 0.125 0.250
0.375 0.605 0.750
0.500 0.500 0.000
0.250 0.750 0.500
```

Entry from Alexandria via LeMat-Bulk: a geometry-optimized KPdC2 structure (GGA-PBE).

Results
* energy of formation from the pure elements: 1.5184 eV per atom
* density of states at the Fermi level: 3.05 states/eV/cell
* total moment: 1.0 μB per formula unit
* E: -4.666 eV/atom

Structure (POSCAR):
```
KPdC2
1.0
6.063 0.000 0.000
0.000 6.063 0.000
3.031 3.031 4.235
Pd C K
2 4 2
Direct
0.750 0.250 0.500
0.000 0.000 0.000
0.875 0.021 0.750
0.375 0.229 0.750
0.979 0.625 0.250
0.771 0.125 0.250
0.500 0.500 0.000
0.250 0.750 0.500
```

Entry from Alexandria via LeMat-Bulk: a geometry-optimized KPdC2 structure (GGA-PBE).

Results
* energy of formation from the pure elements: 2.3551 eV per atom
* density of states at the Fermi level: 3.13 states/eV/cell
* total moment: 0.0 μB per formula unit
* E: -3.829 eV/atom

Structure (POSCAR):
```
KPdC2
1.0
0.000 2.976 2.976
2.976 0.000 2.976
2.976 2.976 0.000
C Pd K
2 1 1
Direct
0.250 0.250 0.250
0.750 0.750 0.750
0.500 0.500 0.500
0.000 0.000 0.000
```

Entry from Alexandria via LeMat-Bulk: a geometry-optimized KPd3C structure (GGA-PBE).

Results
* energy above the most stable polymorph in this dataset: 0 meV/atom
* energy of formation from the pure elements: 0.3173 eV per atom
* density of states at the Fermi level: 5.74 states/eV/cell
* total moment: 0.0 μB per formula unit
* E: -4.863 eV/atom

Structure (POSCAR):
```
KPd3C
1.0
-1.153 -2.745 -3.129
-1.573 -2.719 2.965
-3.853 1.931 -0.274
Pd C K
3 1 1
Direct
0.000 0.500 0.000
0.000 0.000 0.500
0.500 0.000 0.000
0.000 0.000 0.000
0.500 0.500 0.500
```